Here is a relaxed structure of Pr3DyCo from the Alexandria database. Energies are from PBE.

Computed properties:
* E_tot: -5.082 eV per atom
* ΔH_f (0 K): 0.127 eV per atom
* DOS at the Fermi energy: 9.773 states/eV per cell
* magnetization: 0.8 μB per formula unit

Unit cell a=5.4662 b=5.4662 c=5.4662 alpha=90.00 beta=90.00 gamma=90.00
Last column: magnetic moment on the atom in μB.
Positions (direct):
Co  0.0000  0.0000  0.0000  0.10
Dy  0.5000  0.5000  0.5000  0.20
Pr  0.5000  0.0000  0.0000  0.05
Pr  0.0000  0.0000  0.5000  0.05
Pr  0.0000  0.5000  0.0000  0.05


Here is a relaxed structure of SrAlZn2O4 from the Alexandria database. Energies are from PBE.

Computed properties:
* E_tot: -5.483 eV per atom
* DOS at the Fermi energy: 0.792 states/eV per cell
* raw formation energy: -2008 meV per atom
* magnetization: 0.0 μB per formula unit

Unit cell a=5.4514 b=5.4514 c=5.2679 alpha=121.19 beta=121.19 gamma=89.97
Positions (direct):
O  0.5453  0.5453  0.7080
O  0.1626  0.1626  0.7080
O  0.8376  0.4547  0.2923
O  0.4547  0.8376  0.2923
Zn  0.7500  0.2500  0.5000
Zn  0.2500  0.7500  0.5000
Sr  0.0000  0.0000  0.0000
Al  0.5000  0.5000  0.0000


Here is a relaxed structure of CaPm12Pr3 from the Alexandria database. Energies are from PBE.

Computed properties:
* E_tot: -4.554 eV per atom
* ΔH_f (0 K): 0.030 eV per atom
* DOS at the Fermi energy: 24.504 states/eV per cell
* magnetization: 0.0 μB per formula unit

Unit cell a=5.2005 b=5.2005 c=20.7559 alpha=90.00 beta=90.00 gamma=90.00
Positions (direct):
Pr  0.0000  0.0000  0.7498
Pr  0.0000  0.0000  0.2502
Pr  0.0000  0.0000  0.5000
Pm  0.5000  0.0000  0.6242
Pm  0.0000  0.5000  0.3758
Pm  0.5000  0.5000  0.5000
Pm  0.5000  0.0000  0.3758
Pm  0.0000  0.5000  0.8718
Pm  0.5000  0.0000  0.8718
Pm  0.5000  0.5000  0.0000
Pm  0.0000  0.5000  0.1282
Pm  0.0000  0.5000  0.6242
Pm  0.5000  0.0000  0.1282
Pm  0.5000  0.5000  0.7506
Pm  0.5000  0.5000  0.2494
Ca  0.0000  0.0000  0.0000


Here is a relaxed structure of Sc2NbPb2 from the Alexandria database. Energies are from PBE.

Computed properties:
* E_tot: -6.105 eV per atom
* ΔH_f (0 K): -0.075 eV per atom
* DOS at the Fermi energy: 7.884 states/eV per cell
* magnetization: 0.0 μB per formula unit

Unit cell a=7.6398 b=7.6398 c=4.0078 alpha=90.00 beta=90.00 gamma=90.00
Positions (direct):
Sc  0.1661  0.6661  0.5000
Sc  0.6661  0.8339  0.5000
Sc  0.8339  0.3339  0.5000
Sc  0.3339  0.1661  0.5000
Pb  0.3577  0.8577  0.0000
Pb  0.6423  0.1423  0.0000
Pb  0.1423  0.3577  0.0000
Pb  0.8577  0.6423  0.0000
Nb  0.5000  0.5000  0.0000
Nb  0.0000  0.0000  0.0000


Here is a relaxed structure of KMoAu2 from the Alexandria database. Energies are from PBE.

Computed properties:
* E_tot: -4.105 eV per atom
* ΔH_f (0 K): 0.515 eV per atom
* DOS at the Fermi energy: 2.306 states/eV per cell
* magnetization: 0.0 μB per formula unit
* excess energy over the best structure of this formula in the dataset: 0.92 eV/f.u.

Unit cell a=2.7365 b=4.7243 c=7.0831 alpha=90.00 beta=90.00 gamma=90.00
Positions (direct):
Au  0.5000  0.5000  0.2258
Au  0.0000  0.0000  0.9449
Mo  0.5000  0.5000  0.8499
K  0.0000  0.0000  0.4793


Here is a relaxed structure of PrZn2Pd2Pt from the Alexandria database. Energies are from PBE.

Computed properties:
* E_tot: -4.372 eV per atom
* ΔH_f (0 K): -0.413 eV per atom
* DOS at the Fermi energy: 2.182 states/eV per cell
* magnetization: 0.0 μB per formula unit

Unit cell a=4.7360 b=4.7360 c=5.5901 alpha=90.00 beta=90.00 gamma=90.00
Positions (direct):
Pd  0.5000  0.5000  0.2542
Pd  0.5000  0.5000  0.7458
Zn  0.0000  0.5000  0.0000
Zn  0.5000  0.0000  0.0000
Pt  0.0000  0.0000  0.0000
Pr  0.0000  0.0000  0.5000